DFT (PBE-GGA) results for crystalline ErTmCuIr at its relaxed geometry.

Lattice parameters (Å, degrees): 4.8172 4.8172 4.8172 60.00 60.00 60.00
Fractional positions:
Er 0.0000 0.0000 0.0000
Tm 0.5000 0.5000 0.5000
Cu 0.2500 0.2500 0.2500
Ir 0.7500 0.7500 0.7500

Computed properties:
The volume is 19.76 Å³/atom. Its space group is F-43m. As for the formation energy: -0.648 eV/atom. As for the crystal system: cubic.